1.
# Tb3Ga6Au5

A relaxed structure of Tb3Ga6Au5 (GGA-PBE, the Alexandria database).

Values from the calculation:
Theoretical density, g cm⁻³: 11.3
SG: Pmmn
Formation energy from the elements, eV per formula unit: -8.7

The structure in CIF format:
```
data_Tb3Ga6Au5
_chemical_formula_sum 'Tb6 Ga12 Au10'
_cell_length_a 4.382
_cell_length_b 12.946
_cell_length_c 9.702
_cell_angle_alpha 90.00
_cell_angle_beta 90.00
_cell_angle_gamma 90.00
_symmetry_space_group_name_H-M 'P 1'
_symmetry_Int_Tables_number 1
_symmetry_space_group_name_Hall 'P 1'
loop_
_atom_site_label
_atom_site_fract_x
_atom_site_fract_y
_atom_site_fract_z
_atom_site_occupancy
Tb1 0.250 0.051 0.248 1
Tb2 0.250 0.449 0.248 1
Tb3 0.250 0.750 0.250 1
Tb4 0.750 0.250 0.750 1
Tb5 0.750 0.551 0.752 1
Tb6 0.750 0.949 0.752 1
Ga1 0.250 0.083 0.886 1
Ga2 0.250 0.250 0.054 1
Ga3 0.250 0.250 0.441 1
Ga4 0.250 0.417 0.886 1
Ga5 0.250 0.600 0.528 1
Ga6 0.250 0.900 0.528 1
Ga7 0.750 0.100 0.472 1
Ga8 0.750 0.400 0.472 1
Ga9 0.750 0.583 0.114 1
Ga10 0.750 0.750 0.559 1
Ga11 0.750 0.750 0.946 1
Ga12 0.750 0.917 0.114 1
Au1 0.250 0.098 0.622 1
Au2 0.250 0.402 0.622 1
Au3 0.250 0.615 0.975 1
Au4 0.250 0.750 0.730 1
Au5 0.250 0.885 0.975 1
Au6 0.750 0.115 0.025 1
Au7 0.750 0.250 0.270 1
Au8 0.750 0.385 0.025 1
Au9 0.750 0.598 0.378 1
Au10 0.750 0.902 0.378 1
```



2.
# La2PdRhAu

A relaxed structure of La2PdRhAu (GGA-PBE, the Alexandria database).

Values from the calculation:
Theoretical density, g cm⁻³: 9.1
SG: P2_1/m
Formation energy from the elements, eV per formula unit: -3.6

The structure in CIF format:
```
data_La2PdRhAu
_chemical_formula_sum 'La4 Pd2 Rh2 Au2'
_cell_length_a 7.662
_cell_length_b 4.368
_cell_length_c 8.119
_cell_angle_alpha 90.00
_cell_angle_beta 112.90
_cell_angle_gamma 90.00
_symmetry_space_group_name_H-M 'P 1'
_symmetry_Int_Tables_number 1
_symmetry_space_group_name_Hall 'P 1'
loop_
_atom_site_label
_atom_site_fract_x
_atom_site_fract_y
_atom_site_fract_z
_atom_site_occupancy
La1 0.174 0.250 0.366 1
La2 0.275 0.250 0.959 1
La3 0.725 0.750 0.041 1
La4 0.826 0.750 0.634 1
Pd1 0.491 0.750 0.274 1
Pd2 0.509 0.250 0.726 1
Rh1 0.119 0.750 0.103 1
Rh2 0.881 0.250 0.897 1
Au1 0.265 0.750 0.673 1
Au2 0.735 0.250 0.327 1
```



3.
# TaMn3Bi

A relaxed structure of TaMn3Bi (GGA-PBE, the Alexandria database).

Values from the calculation:
Theoretical density, g cm⁻³: 7.9
ΔE to the lowest computed polymorph, meV/atom: 579
SG: Pm-3m
Formation energy from the elements, eV per formula unit: 8.6

The structure in CIF format:
```
data_TaMn3Bi
_chemical_formula_sum 'Ta1 Mn3 Bi1'
_cell_length_a 4.896
_cell_length_b 4.896
_cell_length_c 4.896
_cell_angle_alpha 90.00
_cell_angle_beta 90.00
_cell_angle_gamma 90.00
_symmetry_space_group_name_H-M 'P 1'
_symmetry_Int_Tables_number 1
_symmetry_space_group_name_Hall 'P 1'
loop_
_atom_site_label
_atom_site_fract_x
_atom_site_fract_y
_atom_site_fract_z
_atom_site_occupancy
Ta1 0.000 0.000 0.000 1
Mn1 0.000 0.500 0.500 1
Mn2 0.500 0.000 0.500 1
Mn3 0.500 0.500 0.000 1
Bi1 0.500 0.500 0.500 1
```